No. 1
! PBE NaYMgTl, optimized geometry; values from VASP
&SYSTEM
  ibrav = 0, nat = 4, ntyp = 4
/
ATOMIC_SPECIES
Na 22.99 Na.upf
Y 88.91 Y.upf
Tl 204.38 Tl.upf
Mg 24.30 Mg.upf
ATOMIC_POSITIONS crystal
Na 0.2500 0.2500 0.2500
Y 0.7500 0.7500 0.7500
Tl 0.0000 0.0000 0.0000
Mg 0.5000 0.5000 0.5000
CELL_PARAMETERS angstrom
-3.2629 -4.0258 -1.1816
1.9844 -4.5836 -1.8172
-0.0891 -4.3375 3.0704
! Formation energy ... -0.37 eV/f.u.
! Space-group type ... F-43m



No. 2
! PBE K3Er2AlO6, optimized geometry; values from VASP
&SYSTEM
  ibrav = 0, nat = 12, ntyp = 4
/
ATOMIC_SPECIES
O 16.00 O.upf
K 39.10 K.upf
Al 26.98 Al.upf
Er 167.26 Er.upf
ATOMIC_POSITIONS crystal
O 0.3618 0.0588 0.1767
O 0.9412 0.6382 0.8233
O 0.2440 0.2440 0.8240
O 0.6382 0.9412 0.8233
O 0.0588 0.3618 0.1767
O 0.7560 0.7560 0.1760
K 0.8361 0.1639 0.5000
K 0.1639 0.8361 0.5000
K 0.5000 0.5000 0.5000
Al 0.0000 0.0000 0.0000
Er 0.6668 0.3332 0.0000
Er 0.3332 0.6668 0.0000
CELL_PARAMETERS angstrom
5.7126 -0.0013 0.0008
-2.8560 4.9474 0.0008
-0.9518 -1.6480 6.1949
! Formation energy from raw total energies ... -2.573 eV/atom
! Space-group type ... C2/m



No. 3
! PBE Zr2InBr, optimized geometry; values from VASP
&SYSTEM
  ibrav = 0, nat = 4, ntyp = 3
/
ATOMIC_SPECIES
Zr 91.22 Zr.upf
In 114.82 In.upf
Br 79.90 Br.upf
ATOMIC_POSITIONS crystal
Zr 0.9924 0.9924 0.0472
Zr 0.7679 0.7679 0.6771
In 0.2501 0.2501 0.1821
Br 0.4896 0.4896 0.5935
CELL_PARAMETERS angstrom
-1.0839 3.9785 -3.7921
0.9738 1.8508 -5.1971
-4.0098 -2.2277 -2.4989
! Energy above the most stable polymorph in this dataset ... 228.9 meV per atom
! Formation energy from raw total energies ... -0.190 eV/atom
! Space-group type ... Cm



No. 4
! PBE PmHo2Ga2Ag2, optimized geometry; values from VASP
&SYSTEM
  ibrav = 0, nat = 7, ntyp = 4
/
ATOMIC_SPECIES
Ga 69.72 Ga.upf
Ag 107.87 Ag.upf
Pm 145.00 Pm.upf
Ho 164.93 Ho.upf
ATOMIC_POSITIONS crystal
Ga 0.2553 0.2553 0.2342
Ga 0.7447 0.7447 0.7658
Ag 0.4039 0.4039 0.7883
Ag 0.5961 0.5961 0.2117
Pm 0.0000 0.0000 0.0000
Ho 0.1268 0.1268 0.6197
Ho 0.8732 0.8732 0.3803
CELL_PARAMETERS angstrom
-0.8964 -1.6172 4.2567
2.9880 -2.8924 2.0602
4.9906 5.4604 5.6554
! Formation energy ... -2.63 eV/f.u.
! Space-group type ... R-3m



No. 5
! PBE LaMgGa, optimized geometry; values from VASP
&SYSTEM
  ibrav = 0, nat = 9, ntyp = 3
/
ATOMIC_SPECIES
Mg 24.30 Mg.upf
La 138.91 La.upf
Ga 69.72 Ga.upf
ATOMIC_POSITIONS crystal
Mg 0.0000 0.2417 0.5000
Mg 0.2417 0.0000 0.5000
Mg 0.7583 0.7583 0.5000
La 0.4227 0.4227 0.0000
La 0.5773 0.0000 0.0000
La 0.0000 0.5773 0.0000
Ga 0.0000 0.0000 0.0000
Ga 0.3333 0.6667 0.5000
Ga 0.6667 0.3333 0.5000
CELL_PARAMETERS angstrom
7.5858 0.0000 0.0000
-3.7929 6.5695 0.0000
0.0000 0.0000 4.6340
! Formation energy ... -1.47 eV/f.u.
! Space-group type ... P-62m



No. 6
! PBE LiCd2Ga2Ag5, optimized geometry; values from VASP
&SYSTEM
  ibrav = 0, nat = 20, ntyp = 4
/
ATOMIC_SPECIES
Cd 112.41 Cd.upf
Ga 69.72 Ga.upf
Ag 107.87 Ag.upf
Li 6.94 Li.upf
ATOMIC_POSITIONS crystal
Cd 0.0000 0.1738 0.3262
Cd 0.0000 0.8262 0.6738
Cd 0.0000 0.6738 0.1738
Cd 0.0000 0.3262 0.8262
Ga 0.0000 0.3748 0.1252
Ga 0.0000 0.8748 0.3748
Ga 0.0000 0.6252 0.8748
Ga 0.0000 0.1252 0.6252
Ag 0.5000 0.9354 0.1991
Ag 0.5000 0.5000 0.0000
Ag 0.5000 0.3009 0.5646
Ag 0.5000 0.5646 0.6991
Ag 0.5000 0.1991 0.0646
Ag 0.5000 0.6991 0.4354
Ag 0.5000 0.4354 0.3009
Ag 0.5000 0.8009 0.9354
Ag 0.5000 0.0646 0.8009
Ag 0.5000 0.0000 0.5000
Li 0.0000 0.0000 0.0000
Li 0.0000 0.5000 0.5000
CELL_PARAMETERS angstrom
-1.1965 -3.4928 1.9142
7.2692 0.8531 6.1004
-5.5162 5.1010 5.8596
! Formation energy ... -0.27 eV/f.u.
! Space-group type ... P4/mbm



No. 7
! PBE HfPd2Se, optimized geometry; values from VASP
&SYSTEM
  ibrav = 0, nat = 8, ntyp = 3
/
ATOMIC_SPECIES
Hf 178.49 Hf.upf
Se 78.96 Se.upf
Pd 106.42 Pd.upf
ATOMIC_POSITIONS crystal
Hf 0.7500 0.2500 0.5000
Hf 0.0000 0.0000 0.0000
Se 0.2500 0.7500 0.5000
Se 0.5000 0.5000 0.0000
Pd 0.6090 0.1250 0.2500
Pd 0.3750 0.3910 0.7500
Pd 0.8750 0.8590 0.7500
Pd 0.1410 0.6250 0.2500
CELL_PARAMETERS angstrom
-5.1497 -1.0393 2.3390
0.9551 -5.6560 -0.4104
0.3568 -3.3260 6.3772
! Formation energy from raw total energies ... -0.073 eV/atom
! Space-group type ... I-42d



No. 8
! PBE RbTl2AgHg, optimized geometry; values from VASP
&SYSTEM
  ibrav = 0, nat = 5, ntyp = 4
/
ATOMIC_SPECIES
Tl 204.38 Tl.upf
Hg 200.59 Hg.upf
Rb 85.47 Rb.upf
Ag 107.87 Ag.upf
ATOMIC_POSITIONS crystal
Tl 0.0000 0.5000 0.0000
Tl 0.5000 0.0000 0.0000
Hg 0.0000 0.0000 0.5000
Rb 0.5000 0.5000 0.5000
Ag 0.0000 0.0000 0.0000
CELL_PARAMETERS angstrom
-2.1783 3.8828 -3.4629
2.1944 -2.7182 -4.4281
-4.6849 -3.0365 -0.4577
! Energy above the most stable polymorph in this dataset ... 0.0 meV per atom
! Formation energy ... 0.24 eV/f.u.
! Space-group type ... P4/mmm



No. 9
! PBE Cs2Ag2Pb, optimized geometry; values from VASP
&SYSTEM
  ibrav = 0, nat = 5, ntyp = 3
/
ATOMIC_SPECIES
Cs 132.91 Cs.upf
Ag 107.87 Ag.upf
Pb 207.20 Pb.upf
ATOMIC_POSITIONS crystal
Cs 0.3817 0.3817 0.2366
Cs 0.6183 0.6183 0.7634
Ag 0.7500 0.2500 0.5000
Ag 0.2500 0.7500 0.5000
Pb 0.0000 0.0000 0.0000
CELL_PARAMETERS angstrom
-2.9379 -0.4032 -2.6087
0.6396 -3.8956 -0.1182
-9.0975 -3.7333 7.8328
! Energy above the most stable polymorph in this dataset ... 31.2 meV per atom
! Formation energy ... 0.54 eV/f.u.
! Space-group type ... I4/mmm



No. 10
! PBE GdZnGaRu, optimized geometry; values from VASP
&SYSTEM
  ibrav = 0, nat = 4, ntyp = 4
/
ATOMIC_SPECIES
Ru 101.07 Ru.upf
Gd 157.25 Gd.upf
Zn 65.41 Zn.upf
Ga 69.72 Ga.upf
ATOMIC_POSITIONS crystal
Ru 0.2500 0.2500 0.2500
Gd 0.7500 0.7500 0.7500
Zn 0.0000 0.0000 0.0000
Ga 0.5000 0.5000 0.5000
CELL_PARAMETERS angstrom
4.6437 0.0000 0.0000
2.3218 4.0215 0.0000
2.3218 1.3405 3.7915
! Formation energy ... -0.98 eV/f.u.
! Space-group type ... F-43m



No. 11
! PBE LuPaGe2, optimized geometry; values from VASP
&SYSTEM
  ibrav = 0, nat = 4, ntyp = 3
/
ATOMIC_SPECIES
Ge 72.64 Ge.upf
Pa 231.04 Pa.upf
Lu 174.97 Lu.upf
ATOMIC_POSITIONS crystal
Ge 0.0000 0.5000 0.0000
Ge 0.0000 0.0000 0.5000
Pa 0.5000 0.5000 0.5000
Lu 0.5000 0.0000 0.0000
CELL_PARAMETERS angstrom
3.9266 0.0000 0.0000
0.0000 4.7018 0.0000
0.0000 0.0000 4.7018
! Energy above the most stable polymorph in this dataset ... 126.3 meV per atom
! Formation energy ... -1.88 eV/f.u.
! Space-group type ... P4/mmm



No. 12
! PBE Ba6Li15Ga8, optimized geometry; values from VASP
&SYSTEM
  ibrav = 0, nat = 29, ntyp = 3
/
ATOMIC_SPECIES
Li 6.94 Li.upf
Ba 137.33 Ba.upf
Ga 69.72 Ga.upf
ATOMIC_POSITIONS crystal
Li 0.5000 0.5000 0.0000
Li 0.6801 0.6801 0.9596
Li 0.0000 0.0000 0.5000
Li 0.0000 0.5000 0.5000
Li 0.0000 0.0000 0.0000
Li 0.3199 0.0404 0.3199
Li 0.0000 0.5000 0.0000
Li 0.3199 0.3199 0.3199
Li 0.6801 0.9596 0.6801
Li 0.5000 0.0000 0.0000
Li 0.3199 0.3199 0.0404
Li 0.0404 0.3199 0.3199
Li 0.9596 0.6801 0.6801
Li 0.5000 0.0000 0.5000
Li 0.6801 0.6801 0.6801
Ba 0.7338 0.7338 0.2662
Ba 0.7338 0.2662 0.7338
Ba 0.2662 0.7338 0.2662
Ba 0.7338 0.2662 0.2662
Ba 0.2662 0.2662 0.7338
Ba 0.2662 0.7338 0.7338
Ga 0.8661 0.8661 0.8661
Ga 0.5984 0.1339 0.1339
Ga 0.8661 0.8661 0.4016
Ga 0.8661 0.4016 0.8661
Ga 0.1339 0.5984 0.1339
Ga 0.1339 0.1339 0.5984
Ga 0.4016 0.8661 0.8661
Ga 0.1339 0.1339 0.1339
CELL_PARAMETERS angstrom
8.8710 0.0000 5.1217
2.9570 8.3637 5.1217
0.0000 0.0000 10.2434
! Formation energy ... -4.59 eV/f.u.
! Space-group type ... Fm-3m



Electronic total energy for the records above, in order: -12.1; -76.8; -22.3; -28.3; -33.1; -48.7; -48.2; -8.6; -10.6; -28.6; -25.1; -69.0 eV per cell